Entry 1:
# KCd2Ge2 | the Alexandria database | PBE-GGA | relaxed
# - DOS at the Fermi energy (states/eV per atom) = 0.39
# - ΔE to the lowest computed polymorph (meV/atom) = 182.6
# - calculated volume (Å³ per atom) = 24.07
data_KCd2Ge2
_chemical_formula_sum 'K2 Cd4 Ge4'
_cell_length_a 8.877
_cell_length_b 8.877
_cell_length_c 3.055
_cell_angle_alpha 90.00
_cell_angle_beta 90.00
_cell_angle_gamma 90.00
_space_group_name_H-M_alt 'P 4/m b m'
_space_group_IT_number 127
_space_group_name_Hall '-P 4 2ab'
loop_
_atom_site_label
_atom_site_type_symbol
_atom_site_fract_x
_atom_site_fract_y
_atom_site_fract_z
K1 K 0.000 0.000 0.000
Cd1 Cd 0.131 0.369 0.000
Ge1 Ge 0.161 0.661 0.500

***

Entry 2:
# KCdGe2 | the Alexandria database | PBE-GGA | relaxed
# - DOS at the Fermi energy (states/eV per atom) = 0.65
# - total energy (eV per atom) = -2.720
# - calculated volume (Å³ per atom) = 29.03
data_KCdGe2
_chemical_formula_sum 'K3 Cd3 Ge6'
_cell_length_a 4.6028
_cell_length_b 4.6028
_cell_length_c 18.9890
_cell_angle_alpha 90.00
_cell_angle_beta 90.00
_cell_angle_gamma 120.00
_space_group_name_H-M_alt 'R -3 m'
_space_group_IT_number 166
_space_group_name_Hall '-R 3 2"'
loop_
_atom_site_label
_atom_site_type_symbol
_atom_site_fract_x
_atom_site_fract_y
_atom_site_fract_z
K1 K 0.0000 0.0000 0.0000
Cd1 Cd 0.0000 0.0000 0.5000
Ge1 Ge 0.0000 0.0000 0.2103

***

Entry 3:
# KCdGe3 | the Alexandria database | PBE-GGA | relaxed
# - DOS at the Fermi energy (states/eV per atom) = 1.12
# - ΔE to the lowest computed polymorph (meV/atom) = 911.6
# - calculated volume (Å³ per atom) = 34.98
data_KCdGe3
_chemical_formula_sum 'K1 Cd1 Ge3'
_cell_length_a 5.593
_cell_length_b 5.593
_cell_length_c 5.593
_cell_angle_alpha 90.00
_cell_angle_beta 90.00
_cell_angle_gamma 90.00
_space_group_name_H-M_alt 'P m -3 m'
_space_group_IT_number 221
_space_group_name_Hall '-P 4 2 3'
loop_
_atom_site_label
_atom_site_type_symbol
_atom_site_fract_x
_atom_site_fract_y
_atom_site_fract_z
K1 K 0.000 0.000 0.000
Cd1 Cd 0.500 0.500 0.500
Ge1 Ge 0.000 0.000 0.500

***

Entry 4:
# K2CdGe2 | the Alexandria database | PBE-GGA | relaxed
# - DOS at the Fermi energy (states/eV per atom) = 0.00
# - ΔE to the lowest computed polymorph (meV/atom) = 20.9
# - calculated volume (Å³ per atom) = 39.75
data_K2CdGe2
_chemical_formula_sum 'K4 Cd2 Ge4'
_cell_length_a 6.365
_cell_length_b 6.365
_cell_length_c 9.812
_cell_angle_alpha 90.00
_cell_angle_beta 90.00
_cell_angle_gamma 90.00
_space_group_name_H-M_alt 'I 4/m m m'
_space_group_IT_number 139
_space_group_name_Hall '-I 4 2'
loop_
_atom_site_label
_atom_site_type_symbol
_atom_site_fract_x
_atom_site_fract_y
_atom_site_fract_z
K1 K 0.000 0.500 0.250
Cd1 Cd 0.000 0.000 0.000
Ge1 Ge 0.000 0.000 0.386

***

Entry 5:
# KCd3Ge2 | the Alexandria database | PBE-GGA | relaxed
# - DOS at the Fermi energy (states/eV per atom) = 0.17
# - total energy (eV per atom) = -2.238
# - calculated volume (Å³ per atom) = 25.81
data_KCd3Ge2
_chemical_formula_sum 'K4 Cd12 Ge8'
_cell_length_a 17.145
_cell_length_b 4.645
_cell_length_c 8.480
_cell_angle_alpha 90.00
_cell_angle_beta 113.45
_cell_angle_gamma 90.00
_space_group_name_H-M_alt 'C 1 2/m 1'
_space_group_IT_number 12
loop_
_space_group_symop_operation_xyz
'x,y,z'
'-x,-y,-z'
'-x,y,-z'
'x,-y,z'
'x+1/2,y+1/2,z'
'-x+1/2,-y+1/2,-z'
'-x+1/2,y+1/2,-z'
'x+1/2,-y+1/2,z'
loop_
_atom_site_label
_atom_site_type_symbol
_atom_site_fract_x
_atom_site_fract_y
_atom_site_fract_z
K1 K 0.155 0.000 0.069
Cd1 Cd 0.038 0.000 0.354
Cd2 Cd 0.100 0.500 0.697
Cd3 Cd 0.184 0.500 0.431
Ge1 Ge 0.022 0.500 0.162
Ge2 Ge 0.182 0.000 0.674

***

Entry 6:
# K2Cd2Ge | the Alexandria database | PBE-GGA | relaxed
# - DOS at the Fermi energy (states/eV per atom) = 0.19
# - ΔE to the lowest computed polymorph (meV/atom) = 0.0
# - calculated volume (Å³ per atom) = 32.14
data_K2Cd2Ge
_chemical_formula_sum 'K8 Cd8 Ge4'
_cell_length_a 11.041
_cell_length_b 6.700
_cell_length_c 8.863
_cell_angle_alpha 90.00
_cell_angle_beta 101.37
_cell_angle_gamma 90.00
_space_group_name_H-M_alt 'C 1 2/c 1'
_space_group_IT_number 15
loop_
_space_group_symop_operation_xyz
'x,y,z'
'-x,-y,-z'
'-x,y,-z+1/2'
'x,-y,z+1/2'
'x+1/2,y+1/2,z'
'-x+1/2,-y+1/2,-z'
'-x+1/2,y+1/2,-z+1/2'
'x+1/2,-y+1/2,z+1/2'
loop_
_atom_site_label
_atom_site_type_symbol
_atom_site_fract_x
_atom_site_fract_y
_atom_site_fract_z
K1 K 0.150 0.117 0.155
Cd1 Cd 0.128 0.377 0.498
Ge1 Ge 0.000 0.383 0.750

***

Entry 7:
# KCdGe2 | the Alexandria database | PBE-GGA | relaxed
# - DOS at the Fermi energy (states/eV per atom) = 0.42
# - total energy (eV per atom) = -2.677
# - calculated volume (Å³ per atom) = 32.81
data_KCdGe2
_chemical_formula_sum 'K4 Cd4 Ge8'
_cell_length_a 5.233
_cell_length_b 5.233
_cell_length_c 19.168
_cell_angle_alpha 90.00
_cell_angle_beta 90.00
_cell_angle_gamma 90.00
_space_group_name_H-M_alt 'I -4 2 d'
_space_group_IT_number 122
_space_group_name_Hall 'I -4 2bw'
loop_
_atom_site_label
_atom_site_type_symbol
_atom_site_fract_x
_atom_site_fract_y
_atom_site_fract_z
K1 K 0.000 0.000 0.000
Cd1 Cd 0.000 0.000 0.500
Ge1 Ge 0.001 0.250 0.625

***

Entry 8:
# KCd3Ge | the Alexandria database | PBE-GGA | relaxed
# - DOS at the Fermi energy (states/eV per atom) = 0.72
# - ΔE to the lowest computed polymorph (meV/atom) = 1017.9
# - calculated volume (Å³ per atom) = 52.17
data_KCd3Ge
_chemical_formula_sum 'K1 Cd3 Ge1'
_cell_length_a 6.390
_cell_length_b 6.390
_cell_length_c 6.390
_cell_angle_alpha 90.00
_cell_angle_beta 90.00
_cell_angle_gamma 90.00
_space_group_name_H-M_alt 'P m -3 m'
_space_group_IT_number 221
_space_group_name_Hall '-P 4 2 3'
loop_
_atom_site_label
_atom_site_type_symbol
_atom_site_fract_x
_atom_site_fract_y
_atom_site_fract_z
K1 K 0.000 0.000 0.000
Cd1 Cd 0.000 0.000 0.500
Ge1 Ge 0.500 0.500 0.500

***

Entry 9:
# KCd4Ge | the Alexandria database | PBE-GGA | relaxed
# - DOS at the Fermi energy (states/eV per atom) = 0.44
# - ΔE to the lowest computed polymorph (meV/atom) = 0.0
# - calculated volume (Å³ per atom) = 25.83
data_KCd4Ge
_chemical_formula_sum 'K4 Cd16 Ge4'
_cell_length_a 4.639
_cell_length_b 17.332
_cell_length_c 7.711
_cell_angle_alpha 90.00
_cell_angle_beta 90.00
_cell_angle_gamma 90.00
_space_group_name_H-M_alt 'C m c m'
_space_group_IT_number 63
_space_group_name_Hall '-C 2c 2'
loop_
_atom_site_label
_atom_site_type_symbol
_atom_site_fract_x
_atom_site_fract_y
_atom_site_fract_z
K1 K 0.000 0.123 0.250
Cd1 Cd 0.000 0.070 0.750
Cd2 Cd 0.000 0.325 0.055
Cd3 Cd 0.000 0.500 0.000
Ge1 Ge 0.000 0.236 0.750

***

Entry 10:
# KCd3Ge | the Alexandria database | PBE-GGA | relaxed
# - DOS at the Fermi energy (states/eV per atom) = 0.51
# - ΔE to the lowest computed polymorph (meV/atom) = 0.0
# - calculated volume (Å³ per atom) = 27.05
data_KCd3Ge
_chemical_formula_sum 'K2 Cd6 Ge2'
_cell_length_a 4.751
_cell_length_b 4.751
_cell_length_c 11.980
_cell_angle_alpha 90.00
_cell_angle_beta 90.00
_cell_angle_gamma 90.00
_space_group_name_H-M_alt 'I 4 m m'
_space_group_IT_number 107
_space_group_name_Hall 'I 4 -2'
loop_
_atom_site_label
_atom_site_type_symbol
_atom_site_fract_x
_atom_site_fract_y
_atom_site_fract_z
K1 K 0.000 0.000 0.000
Cd1 Cd 0.000 0.000 0.391
Cd2 Cd 0.000 0.500 0.237
Ge1 Ge 0.000 0.000 0.617

***

Entry 11:
# KCd3Ge | the Alexandria database | PBE-GGA | relaxed
# - DOS at the Fermi energy (states/eV per atom) = 0.74
# - ΔE to the lowest computed polymorph (meV/atom) = 201.9
# - calculated volume (Å³ per atom) = 33.85
data_KCd3Ge
_chemical_formula_sum 'K1 Cd3 Ge1'
_cell_length_a 5.531
_cell_length_b 5.531
_cell_length_c 5.531
_cell_angle_alpha 90.00
_cell_angle_beta 90.00
_cell_angle_gamma 90.00
_space_group_name_H-M_alt 'P m -3 m'
_space_group_IT_number 221
_space_group_name_Hall '-P 4 2 3'
loop_
_atom_site_label
_atom_site_type_symbol
_atom_site_fract_x
_atom_site_fract_y
_atom_site_fract_z
K1 K 0.000 0.000 0.000
Cd1 Cd 0.000 0.500 0.500
Ge1 Ge 0.500 0.500 0.500

***

Entry 12:
# K2Cd2Ge | the Alexandria database | PBE-GGA | relaxed
# - DOS at the Fermi energy (states/eV per atom) = 0.65
# - ΔE to the lowest computed polymorph (meV/atom) = 75.1
# - calculated volume (Å³ per atom) = 31.95
data_K2Cd2Ge
_chemical_formula_sum 'K4 Cd4 Ge2'
_cell_length_a 7.407
_cell_length_b 7.407
_cell_length_c 5.824
_cell_angle_alpha 90.00
_cell_angle_beta 90.00
_cell_angle_gamma 90.00
_space_group_name_H-M_alt 'P 4/m b m'
_space_group_IT_number 127
_space_group_name_Hall '-P 4 2ab'
loop_
_atom_site_label
_atom_site_type_symbol
_atom_site_fract_x
_atom_site_fract_y
_atom_site_fract_z
K1 K 0.183 0.317 0.000
Cd1 Cd 0.141 0.641 0.500
Ge1 Ge 0.000 0.000 0.500

***

Question: Among the records above, which one has the highest DOS at the Fermi energy?
Answer: KCdGe3

***

What did the seventh record say?
# KCdGe2 | the Alexandria database | PBE-GGA | relaxed
# - DOS at the Fermi energy (states/eV per atom) = 0.42
# - total energy (eV per atom) = -2.677
# - calculated volume (Å³ per atom) = 32.81
data_KCdGe2
_chemical_formula_sum 'K4 Cd4 Ge8'
_cell_length_a 5.233
_cell_length_b 5.233
_cell_length_c 19.168
_cell_angle_alpha 90.00
_cell_angle_beta 90.00
_cell_angle_gamma 90.00
_space_group_name_H-M_alt 'I -4 2 d'
_space_group_IT_number 122
_space_group_name_Hall 'I -4 2bw'
loop_
_atom_site_label
_atom_site_type_symbol
_atom_site_fract_x
_atom_site_fract_y
_atom_site_fract_z
K1 K 0.000 0.000 0.000
Cd1 Cd 0.000 0.000 0.500
Ge1 Ge 0.001 0.250 0.625